[1]
This record from the Alexandria database describes crystalline BPt3Au at its relaxed geometry. The functional is GGA-PBE.

abc: 6.2497 5.6992 5.6996
angles: 120.00 62.88 117.13
Fractional positions:
Pt  0.2903  0.9573  0.0872
Pt  0.8266  0.1339  0.4075
Pt  0.2903  0.4532  0.0873
B  0.5573  0.8785  0.1665
Pt  0.8266  0.6379  0.9116
Au  0.8286  0.6359  0.4096
Au  0.2883  0.4552  0.5893
B  0.5596  0.2126  0.8324
Pt  0.8266  0.1339  0.9116
Pt  0.2903  0.9573  0.5914

Properties
symmetry: R-3m, No. 166
energy above the most stable polymorph in this dataset: 1 meV/atom
ΔH_f (0 K): -190 meV per atom

***

[2]
This record from the Alexandria database describes crystalline BPt3Au at its relaxed geometry. The functional is GGA-PBE.

abc: 5.9055 5.9055 5.3177
angles: 90.00 90.00 124.07
Fractional positions:
B  0.1601  0.8399  0.2500
Pt  0.5535  0.9559  0.2500
Pt  0.0000  0.0000  0.0000
Pt  0.9559  0.5535  0.7500
Pt  0.0441  0.4465  0.2500
Pt  0.0000  0.0000  0.5000
Au  0.5501  0.4499  0.2500
Pt  0.4465  0.0441  0.7500
Au  0.4499  0.5501  0.7500
B  0.8399  0.1601  0.7500

Properties
symmetry: Cmcm, No. 63
energy above the most stable polymorph in this dataset: 236 meV/atom
ΔH_f (0 K): 44 meV per atom

***

[3]
This record from the Alexandria database describes crystalline BPt3Au at its relaxed geometry. The functional is GGA-PBE.

abc: 5.4646 5.4646 5.4646
angles: 61.36 61.36 61.36
Fractional positions:
Pt  0.8179  0.3406  0.8179
Pt  0.8179  0.8179  0.3406
Au  0.8308  0.8308  0.8308
Pt  0.3406  0.8179  0.8179
B  0.0677  0.0677  0.0677

Properties
symmetry: R3m, No. 160
energy above the most stable polymorph in this dataset: 736 meV/atom
ΔH_f (0 K): 545 meV per atom

***

[4]
This record from the Alexandria database describes crystalline BPt3Au at its relaxed geometry. The functional is GGA-PBE.

abc: 7.8060 7.8060 7.8060
angles: 60.00 60.00 60.00
Fractional positions:
Pt  0.4515  0.0485  0.0485
Pt  0.7985  0.7985  0.2015
B  0.6250  0.1250  0.1250
Pt  0.2015  0.7985  0.2015
Pt  0.0485  0.4515  0.4515
B  0.1250  0.6250  0.1250
Au  0.6250  0.6250  0.1250
Pt  0.4515  0.4515  0.0485
Au  0.6250  0.1250  0.6250
Pt  0.0485  0.0485  0.4515
B  0.1250  0.1250  0.1250
Pt  0.4515  0.0485  0.4515
Pt  0.7985  0.2015  0.2015
Pt  0.2015  0.7985  0.7985
Au  0.6250  0.6250  0.6250
Pt  0.7985  0.2015  0.7985
B  0.1250  0.1250  0.6250
Pt  0.2015  0.2015  0.7985
Au  0.1250  0.6250  0.6250
Pt  0.0485  0.4515  0.0485

Properties
symmetry: Fd-3m, No. 227
energy above the most stable polymorph in this dataset: 114 meV/atom
ΔH_f (0 K): -77 meV per atom

***

[5]
This record from the Alexandria database describes crystalline BPt3Au at its relaxed geometry. The functional is GGA-PBE.

abc: 23.2263 4.8485 8.6889
angles: 90.00 161.45 90.00
Fractional positions:
Pt  0.0984  0.7673  0.9803
Pt  0.7266  0.7355  0.1152
Au  0.1400  0.2713  0.2469
Au  0.3600  0.7713  0.2531
B  0.1601  0.4106  0.7948
B  0.8399  0.5894  0.2052
Pt  0.5227  0.2470  0.1377
B  0.6601  0.0894  0.2948
Pt  0.7734  0.2355  0.3848
Pt  0.9016  0.2327  0.0197
Pt  0.2266  0.7645  0.6152
Pt  0.5984  0.7327  0.4803
Au  0.6400  0.2287  0.7469
Pt  0.4773  0.7530  0.8623
B  0.3399  0.9106  0.7052
Pt  0.2734  0.2645  0.8848
Pt  0.0227  0.2530  0.6377
Au  0.8600  0.7287  0.7531
Pt  0.9773  0.7470  0.3623
Pt  0.4016  0.2673  0.5197

Properties
symmetry: P2_1/c, No. 14
energy above the most stable polymorph in this dataset: 144 meV/atom
ΔH_f (0 K): -47 meV per atom

***

[6]
This record from the Alexandria database describes crystalline BPt3Au at its relaxed geometry. The functional is GGA-PBE.

abc: 4.1834 4.1834 6.1204
angles: 90.00 90.00 90.00
Fractional positions:
B  0.5000  0.5000  0.4602
Pt  0.0000  0.0000  0.7333
Pt  0.0000  0.5000  0.4589
Pt  0.5000  0.0000  0.4589
Au  0.0000  0.0000  0.1523

Properties
symmetry: P4mm, No. 99
energy above the most stable polymorph in this dataset: 657 meV/atom
ΔH_f (0 K): 466 meV per atom